1.
VASP calculation (PBE) on crystalline CaPu6N8 at its relaxed geometry.

Unit cell a=3.515 b=8.846 c=8.846 alpha=120.00 beta=90.00 gamma=90.00
Site moments in Bohr magnetons follow the coordinates.
Fractional coordinates of all 15 atoms:
N1 0.739 0.292 0.310  -0.23
N2 0.261 0.708 0.690  -0.23
N3 0.261 0.982 0.292  -0.23
N4 0.256 0.333 0.667  -0.27
N5 0.739 0.690 0.982  -0.23
N6 0.261 0.310 0.018  -0.23
N7 0.739 0.018 0.708  -0.23
N8 0.744 0.667 0.333  -0.27
Ca1 0.500 0.000 0.000  0.05
Pu1 0.760 0.560 0.702  4.53
Pu2 0.240 0.440 0.298  4.53
Pu3 0.240 0.858 0.560  4.53
Pu4 0.760 0.298 0.858  4.53
Pu5 0.240 0.702 0.142  4.53
Pu6 0.760 0.142 0.440  4.53

Output
**Space-group type**: No. 147
**Crystal system**: trigonal
**Magnetic moment**: 26.00 μB/f.u.
**ΔE_f (raw)**: -0.9852 eV per atom
**Volume**: 15.9 Å³ per atom


2.
VASP calculation (PBE) on crystalline RbSrTlIn at its relaxed geometry.

Unit cell a=5.870 b=5.870 c=5.870 alpha=60.00 beta=60.00 gamma=60.00
Fractional coordinates of all 4 atoms:
Sr1 0.250 0.250 0.250
In1 0.500 0.500 0.500
Rb1 0.000 0.000 0.000
Tl1 0.750 0.750 0.750

Output
**Space-group type**: No. 216
**Crystal system**: cubic
**Magnetic moment**: 0.00 μB/f.u.
**Formation energy**: -5.86 kJ per mole of atoms
**Volume**: 35.8 Å³ per atom


3.
VASP calculation (PBE) on crystalline TbEr at its relaxed geometry.

Unit cell a=3.606 b=5.594 c=6.245 alpha=90.00 beta=90.00 gamma=90.00
Fractional coordinates of all 4 atoms:
Er1 0.000 0.750 0.334
Er2 0.000 0.250 0.666
Tb1 0.500 0.250 0.168
Tb2 0.500 0.750 0.832

Output
**Space-group type**: No. 51
**Crystal system**: orthorhombic
**Magnetic moment**: 0.00 μB/f.u.
**Formation energy**: 0.45 kJ per mole of atoms
**Energy relative to the lowest polymorph listed for this composition**: 0 meV per atom
**Volume**: 31.5 Å³ per atom


4.
VASP calculation (PBE) on crystalline LiBe2Cr at its relaxed geometry.

Unit cell a=3.902 b=3.902 c=3.902 alpha=120.02 beta=120.02 gamma=89.96
Site moments in Bohr magnetons follow the coordinates.
Fractional coordinates of all 4 atoms:
Be1 0.000 0.000 0.000  -0.10
Be2 0.250 0.750 0.500  -0.07
Cr1 0.500 0.500 0.000  2.93
Li1 0.750 0.250 0.500  0.04

Output
**Space-group type**: No. 216
**Crystal system**: cubic
**Magnetic moment**: 2.87 μB/f.u.
**Formation energy**: 27.32 kJ per mole of atoms
**Energy relative to the lowest polymorph listed for this composition**: 164 meV per atom
**Volume**: 10.5 Å³ per atom


5.
VASP calculation (PBE) on crystalline Sr8HRh2 at its relaxed geometry.

Unit cell a=6.993 b=7.938 c=9.573 alpha=127.10 beta=89.95 gamma=80.70
Fractional coordinates of all 11 atoms:
Sr1 0.697 0.310 0.155
Sr2 0.728 0.154 0.577
Sr3 0.184 0.266 0.933
Sr4 0.817 0.735 0.668
Sr5 0.183 0.265 0.332
Sr6 0.272 0.846 0.423
Sr7 0.303 0.690 0.845
Sr8 0.816 0.734 0.067
Rh1 0.940 0.629 0.314
Rh2 0.060 0.371 0.685
H1 0.000 0.000 0.000

Output
**Space-group type**: No. 12
**Crystal system**: monoclinic
**Magnetic moment**: 0.00 μB/f.u.
**Calculated total energy**: -0.2242 Ry/atom
**Volume**: 37.7 Å³ per atom


6.
VASP calculation (PBE) on crystalline CaY3 at its relaxed geometry.

Unit cell a=3.654 b=5.853 c=6.401 alpha=90.00 beta=90.00 gamma=90.00
Site moments in Bohr magnetons follow the coordinates.
Fractional coordinates of all 4 atoms:
Y1 0.500 0.000 0.501  0.17
Y2 0.000 0.500 0.339  0.18
Y3 0.500 0.500 0.825  0.21
Ca1 0.000 0.000 0.002  0.05

Output
**Space-group type**: No. 25
**Crystal system**: orthorhombic
**Magnetic moment**: 1.34 μB/f.u.
**Formation energy**: 8.11 kJ per mole of atoms
**Volume**: 34.2 Å³ per atom


7.
VASP calculation (PBE) on crystalline KSc2Os at its relaxed geometry.

Unit cell a=4.048 b=4.048 c=9.690 alpha=85.83 beta=85.83 gamma=48.42
Fractional coordinates of all 4 atoms:
Sc1 0.475 0.475 0.605
Sc2 0.025 0.025 0.895
K1 0.250 0.250 0.250
Os1 0.750 0.750 0.750

Output
**Space-group type**: No. 12
**Crystal system**: monoclinic
**Magnetic moment**: 0.00 μB/f.u.
**Formation energy**: 13.09 kJ per mole of atoms
**Energy relative to the lowest polymorph listed for this composition**: 220 meV per atom
**Volume**: 29.6 Å³ per atom


8.
VASP calculation (PBE) on crystalline TaBSbTe2 at its relaxed geometry.

Unit cell a=4.747 b=4.747 c=4.734 alpha=90.00 beta=90.00 gamma=90.00
Fractional coordinates of all 5 atoms:
Ta1 0.500 0.500 0.500
Te1 0.500 0.000 0.000
Te2 0.000 0.500 0.000
Sb1 0.000 0.000 0.500
B1 0.000 0.000 0.000

Output
**Space-group type**: No. 123
**Crystal system**: tetragonal
**Magnetic moment**: 0.00 μB/f.u.
**ΔE_f (raw)**: 1.0424 eV per atom
**Energy relative to the lowest polymorph listed for this composition**: 0 meV per atom
**Volume**: 21.3 Å³ per atom